Compound: SrCu2SnS4
Source: Alexandria via LeMat-Bulk
Functional: PBE
Structure: optimized geometry

Spin magnetization, μB/f.u.: 0.000
Raw formation energy, meV per atom: -781
Energy, eV/atom: -4.580

Structure (POSCAR):
```
SrCu2SnS4
1.0
6.352 0.000 0.000
-3.176 5.501 0.000
0.000 0.000 15.609
Cu S Sr Sn
6 12 3 3
Direct
0.072 0.635 0.588
0.437 0.365 0.745
0.635 0.072 0.412
0.365 0.437 0.255
0.563 0.928 0.921
0.928 0.563 0.079
0.954 0.440 0.454
0.647 0.763 0.338
0.353 0.116 0.329
0.116 0.353 0.671
0.046 0.486 0.212
0.237 0.884 0.005
0.440 0.954 0.546
0.884 0.237 0.995
0.514 0.560 0.879
0.486 0.046 0.788
0.560 0.514 0.121
0.763 0.647 0.662
0.437 0.437 0.500
0.000 0.563 0.833
0.563 0.000 0.167
0.704 0.000 0.667
0.296 0.296 0.000
0.000 0.704 0.333
```